Below is a PBEsol-optimized structure of SrMg2P, with properties calculated at the meta-GGA SCAN level.

Geometry as CIF:
```
data_SrMg2P
_chemical_formula_sum 'Sr1 Mg2 P1'
_symmetry_space_group_name_H-M 'P 4/m m m'
_symmetry_Int_Tables_number 123
_symmetry_space_group_name_Hall '-P 4 2'
_cell_length_a 3.511
_cell_length_b 3.511
_cell_length_c 7.945
_cell_angle_alpha 90.00
_cell_angle_beta 90.00
_cell_angle_gamma 90.00
loop_
_atom_site_label
_atom_site_fract_x
_atom_site_fract_y
_atom_site_fract_z
Sr1 0.000 0.000 0.000
Mg1 0.500 0.500 0.325
P1 0.000 0.000 0.500
```

## Properties
- DFT total energy (eV per formula unit) = -43.2
- energy relative to the elements (kJ/mol of atoms) = -14.8
- D(E_F) (states/eV per cell) = 2.30